Entry 1:
Density functional theory data (GGA-PBE) for a relaxed structure of TaCdP2.

Cell: 3.2844 3.5709 12.6585 Å, 90.00 90.00 90.00°
Space group Imm2 (No. 44)
Symmetry-distinct sites (fractional):
Ta1 0.0000 0.0000 0.0000 (multiplicity 2)
Cd1 0.0000 0.5000 0.7472 (multiplicity 2)
P1 0.0000 0.0000 0.5676 (multiplicity 2)
P2 0.0000 0.5000 0.3520 (multiplicity 2)

Formation energy from the elements ... -0.16 eV/atom
Uncorrected energy ... -6.06 eV per atom

***

Entry 2:
Density functional theory data (GGA-PBE) for a relaxed structure of Mg2ZnPb.

Cell: 10.4448 3.3711 5.3129 Å, 90.00 103.31 90.00°
Space group Cm (No. 8)
Symmetry-distinct sites (fractional):
Mg1 0.0000 0.0000 0.0000 (multiplicity 2)
Mg2 0.2376 0.0000 0.7142 (multiplicity 2)
Zn1 0.2351 0.5000 0.1729 (multiplicity 2)
Pb1 0.4778 0.0000 0.4779 (multiplicity 2)

Formation energy from the elements ... 0.00 eV/atom
Uncorrected energy ... -2.04 eV per atom

***

Entry 3:
Density functional theory data (GGA-PBE) for a relaxed structure of MgReSb2.

Cell: 4.1851 4.1851 9.2727 Å, 90.00 90.00 90.00°
Space group I-4m2 (No. 119)
Symmetry-distinct sites (fractional):
Mg1 0.0000 0.0000 0.0000 (multiplicity 2)
Re1 0.0000 0.5000 0.7500 (multiplicity 2)
Sb1 0.0000 0.0000 0.5000 (multiplicity 2)
Sb2 0.0000 0.5000 0.2500 (multiplicity 2)

E_form (uncorrected) ... 574.0 meV/atom
Uncorrected energy ... -5.00 eV per atom

***

Entry 4:
Density functional theory data (GGA-PBE) for a relaxed structure of ThCuIrO6.

Cell: 4.7480 4.7480 10.7001 Å, 90.00 90.00 90.00°
Space group P4_2nm (No. 102)
Symmetry-distinct sites (fractional):
Th1 0.0000 0.0000 0.0000 (multiplicity 2)
Cu1 0.0000 0.0000 0.6904 (multiplicity 2)
Ir1 0.0000 0.0000 0.3086 (multiplicity 2)
O1 0.1914 0.1914 0.4450 (multiplicity 4)
O2 0.2101 0.2101 0.1735 (multiplicity 4)
O3 0.2204 0.2204 0.8167 (multiplicity 4)

E_form (uncorrected) ... -1516.3 meV/atom
Uncorrected energy ... -7.09 eV per atom

***

Entry 5:
Density functional theory data (GGA-PBE) for a relaxed structure of NdHo5TmTh2.

Cell: 8.8617 8.8617 15.1462 Å, 90.00 90.00 90.00°
Space group I4/mcm (No. 140)
Symmetry-distinct sites (fractional):
Nd1 0.0000 0.0000 0.2500 (multiplicity 4)
Ho1 0.0000 0.0000 0.0000 (multiplicity 4)
Ho2 0.2080 0.2920 0.1376 (multiplicity 16)
Tm1 0.0000 0.5000 0.2500 (multiplicity 4)
Th1 0.1186 0.3814 0.5000 (multiplicity 8)

Formation energy from the elements ... 0.34 eV/atom
Uncorrected energy ... -4.88 eV per atom

***

Entry 6:
Density functional theory data (GGA-PBE) for a relaxed structure of La8Y3Tm2.

Cell: 13.3617 11.9399 6.1629 Å, 90.00 111.47 90.00°
Space group C2/m (No. 12)
Symmetry-distinct sites (fractional):
La1 0.0561 0.0000 0.2879 (multiplicity 4)
La2 0.1459 0.5000 0.5784 (multiplicity 4)
La3 0.1659 0.2519 0.1531 (multiplicity 8)
Y1 0.0000 0.2454 0.5000 (multiplicity 4)
Y2 0.0000 0.5000 0.0000 (multiplicity 2)
Tm1 0.2034 0.0000 0.8461 (multiplicity 4)

Formation energy from the elements ... 0.15 eV/atom
Uncorrected energy ... -5.06 eV per atom

***

Question: What is the uncorrected energy in the fourth record?
Answer: -7.09 eV per atom

***

Question: What is the uncorrected energy in the sixth record?
Answer: -5.06 eV per atom